Record 1
VASP calculation (PBE) on a relaxed Zn2ReP crystal.

Cell and atoms, written as POSCAR:
```
Zn2ReP
1.0
-0.1449 -0.4506 4.6213
-1.6032 -3.5158 -2.5786
2.7897 -1.2471 -0.0341
Zn P Re
2 1 1
Cartesian
-0.0724 -0.2253 2.3107
-0.8016 -1.7579 -1.2893
1.3949 -0.6236 -0.0171
0.5208 -2.6068 1.0043
```

Calculated values
crystal system: orthorhombic
uncorrected energy: -4.838 eV per atom
Fermi-level density of states: 3.38 states/eV per cell

Record 2
VASP calculation (PBE) on a relaxed DyNb4O8 crystal.

Cell and atoms, written as POSCAR:
```
DyNb4O8
1.0
5.2532 -0.0004 -2.8342
-3.3910 4.9123 -0.0003
0.2442 0.1691 6.7382
O Nb Dy
8 4 1
Cartesian
2.7244 3.6545 -1.2363
4.3831 1.2517 -1.2361
0.2929 3.8291 3.7536
0.0189 3.6396 0.0345
1.8135 1.2519 0.1502
-0.6180 1.4265 5.1401
-2.2766 3.8292 5.1399
2.0875 1.4414 3.8692
2.6266 -0.0002 -1.4171
0.0000 0.0000 0.0000
-1.4513 2.6252 6.7381
0.9311 2.4559 -1.4172
-1.5734 2.5407 3.3690
```

Calculated values
raw formation energy: -2383.7 meV/atom
crystal system: trigonal
uncorrected energy: -8.887 eV per atom
Fermi-level density of states: 7.12 states/eV per cell